(1)
Compound: Ta2NiOs
Source: Alexandria
Functional: meta-GGA SCAN
Structure: PBEsol geometry

Lattice parameters (Å, degrees): 3.192 3.192 5.884 90.00 90.00 90.00
Atoms (fractional coordinates):
Ni 0.000 0.000 0.487
Os 0.500 0.500 0.743
Ta 0.000 0.000 0.983
Ta 0.500 0.500 0.287

Values from the calculation:
Formation energy from the elements in meV/atom: -196
Calculated volume in Å³/f.u.: 59.9
Space group: P4mm
Energy above the most stable polymorph in this dataset in eV per atom: 0.117

***

(2)
Compound: Tc2SbAs
Source: Alexandria
Functional: meta-GGA SCAN
Structure: PBEsol geometry

Lattice parameters (Å, degrees): 2.976 2.976 7.888 90.00 90.00 90.00
Atoms (fractional coordinates):
Sb 0.500 0.500 0.795
As 0.000 0.000 0.432
Tc 0.000 0.000 0.032
Tc 0.500 0.500 0.241

Values from the calculation:
Formation energy without anion corrections in eV/atom: -0.011
Calculated volume in Å³/f.u.: 69.9
Space group: P4mm
Energy above the most stable polymorph in this dataset in eV per atom: 0.000

***

(3)
Compound: TlCo2Sb
Source: Alexandria
Functional: meta-GGA SCAN
Structure: PBEsol geometry

Lattice parameters (Å, degrees): 3.189 4.143 5.196 108.04 90.00 90.00
Atoms (fractional coordinates):
Sb 0.500 0.500 0.000
Tl 0.000 0.000 0.500
Co 0.000 0.000 0.000
Co 0.500 0.500 0.500

Values from the calculation:
Formation energy without anion corrections in eV/atom: 0.538
Calculated volume in Å³/f.u.: 65.3
Space group: P2/m
Energy above the most stable polymorph in this dataset in eV per atom: 0.212

***

(4)
Compound: La3BeI
Source: Alexandria
Functional: meta-GGA SCAN
Structure: PBEsol geometry

Lattice parameters (Å, degrees): 5.825 5.825 5.825 90.00 90.00 90.00
Atoms (fractional coordinates):
I 0.000 0.000 0.000
Be 0.500 0.500 0.500
La 0.000 0.500 0.000
La 0.000 0.000 0.500
La 0.500 0.000 0.000

Values from the calculation:
Formation energy without anion corrections in eV/atom: 0.443
Calculated volume in Å³/f.u.: 197.6
Space group: Pm-3m

***

(5)
Compound: Y2BeSi
Source: Alexandria
Functional: meta-GGA SCAN
Structure: PBEsol geometry

Lattice parameters (Å, degrees): 4.798 4.798 4.798 60.00 60.00 60.00
Atoms (fractional coordinates):
Y 0.000 0.000 0.000
Y 0.750 0.750 0.750
Be 0.500 0.500 0.500
Si 0.250 0.250 0.250

Values from the calculation:
Formation energy without anion corrections in eV/atom: 0.449
Calculated volume in Å³/f.u.: 78.1
Space group: F-43m
Energy above the most stable polymorph in this dataset in eV per atom: 0.988

***

(6)
Compound: LiV4O5F7
Source: Alexandria
Functional: meta-GGA SCAN
Structure: PBEsol geometry

Lattice parameters (Å, degrees): 5.073 5.266 8.684 73.69 89.13 60.81
Atoms (fractional coordinates):
Li 0.197 0.609 0.409
V 0.031 0.012 0.988
V 0.246 0.519 0.762
V 0.490 0.962 0.492
V 0.790 0.491 0.257
O 0.169 0.241 0.331
O 0.170 0.249 0.916
O 0.207 0.753 0.877
O 0.326 0.745 0.577
O 0.733 0.742 0.377
F 0.271 0.272 0.613
F 0.313 0.749 0.188
F 0.649 0.267 0.420
F 0.678 0.247 0.824
F 0.769 0.257 0.123
F 0.812 0.763 0.675
F 0.816 0.762 0.074

Values from the calculation:
Formation energy without anion corrections in eV/atom: -2.912
Calculated volume in Å³/f.u.: 192.3
Space group: P1

***

(7)
Compound: Cs3VS4
Source: Alexandria
Functional: meta-GGA SCAN
Structure: PBEsol geometry

Lattice parameters (Å, degrees): 9.626 9.653 11.339 90.00 90.00 90.00
Atoms (fractional coordinates):
Cs 0.455 0.792 0.040
Cs 0.955 0.708 0.460
Cs 0.545 0.208 0.540
Cs 0.045 0.292 0.960
Cs 0.545 0.208 0.960
Cs 0.045 0.292 0.540
Cs 0.455 0.792 0.460
Cs 0.955 0.708 0.040
Cs 0.351 0.589 0.750
Cs 0.851 0.911 0.750
Cs 0.649 0.411 0.250
Cs 0.149 0.089 0.250
V 0.277 0.018 0.750
V 0.777 0.482 0.750
V 0.723 0.982 0.250
V 0.223 0.518 0.250
S 0.170 0.953 0.594
S 0.670 0.547 0.906
S 0.830 0.047 0.094
S 0.330 0.453 0.406
S 0.830 0.047 0.406
S 0.330 0.453 0.094
S 0.170 0.953 0.906
S 0.670 0.547 0.594
S 0.484 0.934 0.750
S 0.984 0.566 0.750
S 0.516 0.066 0.250
S 0.016 0.434 0.250
S 0.289 0.239 0.750
S 0.789 0.261 0.750
S 0.711 0.761 0.250
S 0.211 0.739 0.250

Values from the calculation:
Formation energy without anion corrections in eV/atom: -1.423
Calculated volume in Å³/f.u.: 263.4
Space group: Pnma

***

(8)
Compound: KBiPt3
Source: Alexandria
Functional: meta-GGA SCAN
Structure: PBEsol geometry

Lattice parameters (Å, degrees): 4.863 4.863 4.863 90.00 90.00 90.00
Atoms (fractional coordinates):
K 0.000 0.000 0.000
Bi 0.500 0.500 0.500
Pt 0.000 0.500 0.000
Pt 0.000 0.000 0.500
Pt 0.500 0.000 0.000

Values from the calculation:
Formation energy from the elements in meV/atom: 1975
Calculated volume in Å³/f.u.: 115.0
Space group: Pm-3m

***

| no. | electronic total energy (eV per formula unit) |
| --- | --- |
| 1 | -222.01 |
| 2 | -127.62 |
| 3 | -142.08 |
| 4 | -168.19 |
| 5 | -68.26 |
| 6 | -177.79 |
| 7 | -180.82 |
| 8 | -287.61 |